DFT (PBE) results for a relaxed VGaCoMo crystal.

It has space group F-43m (No. 216), with a = 6.004 Å, b = 6.004 Å, c = 6.004 Å, α = 90.00°, β = 90.00° and γ = 90.00°. The asymmetric unit holds V at (0.000, 0.000, 0.000), Ga at (0.000, 0.000, 0.500), Co at (0.250, 0.250, 0.750) and Mo at (0.250, 0.250, 0.250).

The value obtained for the energy relative to the elements is -0.2 eV/f.u. As for the calculated density: 8.45 g cm⁻³.